(1)
K3Hg after structural relaxation. Source: OQMD via LeMat-Bulk, functional PBE.

```
data_K3Hg
_cell_length_a 5.911
_cell_length_b 5.911
_cell_length_c 11.471
_cell_angle_alpha 90.00
_cell_angle_beta 90.00
_cell_angle_gamma 90.00
_space_group_name_H-M_alt 'I 4/m m m'
_space_group_IT_number 139
_space_group_name_Hall '-I 4 2'
loop_
_atom_site_label
_atom_site_fract_x
_atom_site_fract_y
_atom_site_fract_z
K1 0.000 0.000 0.000
K2 0.000 0.500 0.250
Hg1 0.000 0.000 0.500
```

Values from the calculation:
Raw total energy in eV per formula unit: -3.88

***

(2)
LuTeNO after structural relaxation. Source: OQMD via LeMat-Bulk, functional PBE.

```
data_LuTeNO
_cell_length_a 3.550
_cell_length_b 6.724
_cell_length_c 6.523
_cell_angle_alpha 90.00
_cell_angle_beta 90.00
_cell_angle_gamma 90.00
_space_group_name_H-M_alt 'P m c 21'
_space_group_IT_number 26
_space_group_name_Hall 'P 2c -2'
loop_
_atom_site_label
_atom_site_fract_x
_atom_site_fract_y
_atom_site_fract_z
Lu1 0.000 0.172 0.000
Te1 0.500 0.227 0.500
N1 0.000 0.130 0.340
O1 0.500 0.299 0.901
```

Values from the calculation:
Raw total energy in eV per formula unit: -25.34

***

(3)
TaCuBOs after structural relaxation. Source: OQMD via LeMat-Bulk, functional PBE.

```
data_TaCuBOs
_cell_length_a 5.978
_cell_length_b 5.978
_cell_length_c 5.978
_cell_angle_alpha 90.00
_cell_angle_beta 90.00
_cell_angle_gamma 90.00
_space_group_name_H-M_alt 'F -4 3 m'
_space_group_IT_number 216
_space_group_name_Hall 'F -4 2 3'
loop_
_atom_site_label
_atom_site_fract_x
_atom_site_fract_y
_atom_site_fract_z
Ta1 0.000 0.000 0.000
Cu1 0.000 0.000 0.500
B1 0.250 0.250 0.250
Os1 0.250 0.250 0.750
```

Values from the calculation:
Raw total energy in eV per formula unit: -31.19

***

(4)
Er4AlSnC2 after structural relaxation. Source: OQMD via LeMat-Bulk, functional PBE.

```
data_Er4AlSnC2
_cell_length_a 3.5535
_cell_length_b 3.5535
_cell_length_c 15.7816
_cell_angle_alpha 90.00
_cell_angle_beta 90.00
_cell_angle_gamma 120.00
_space_group_name_H-M_alt 'P -6 m 2'
_space_group_IT_number 187
_space_group_name_Hall 'P -6 2'
loop_
_atom_site_label
_atom_site_fract_x
_atom_site_fract_y
_atom_site_fract_z
Er1 0.0000 0.0000 0.1629
Er2 0.6667 0.3333 0.3322
Al1 0.6667 0.3333 0.0000
Sn1 0.0000 0.0000 0.5000
C1 0.3333 0.6667 0.2496
```

Values from the calculation:
Raw total energy in eV per formula unit: -47.85

***

(5)
Be2FeAg after structural relaxation. Source: OQMD via LeMat-Bulk, functional PBE.

```
data_Be2FeAg
_cell_length_a 5.760
_cell_length_b 5.760
_cell_length_c 5.760
_cell_angle_alpha 90.00
_cell_angle_beta 90.00
_cell_angle_gamma 90.00
_space_group_name_H-M_alt 'F -4 3 m'
_space_group_IT_number 216
_space_group_name_Hall 'F -4 2 3'
loop_
_atom_site_label
_atom_site_fract_x
_atom_site_fract_y
_atom_site_fract_z
Be1 0.000 0.000 0.000
Be2 0.250 0.250 0.250
Fe1 0.000 0.000 0.500
Ag1 0.250 0.250 0.750
```

Values from the calculation:
Raw total energy in eV per formula unit: -17.08

***

(6)
RbAgGeSe3 after structural relaxation. Source: OQMD via LeMat-Bulk, functional PBE.

```
data_RbAgGeSe3
_cell_length_a 3.759
_cell_length_b 15.893
_cell_length_c 10.984
_cell_angle_alpha 90.00
_cell_angle_beta 90.00
_cell_angle_gamma 90.00
_space_group_name_H-M_alt 'C m c m'
_space_group_IT_number 63
_space_group_name_Hall '-C 2c 2'
loop_
_atom_site_label
_atom_site_fract_x
_atom_site_fract_y
_atom_site_fract_z
Rb1 0.000 0.236 0.250
Ag1 0.000 0.072 0.750
Ge1 0.000 0.500 0.000
Se1 0.000 0.117 0.525
Se2 0.000 0.453 0.750
```

Values from the calculation:
Raw total energy in eV per formula unit: -20.88

***

(7)
LuNiAsPt after structural relaxation. Source: OQMD via LeMat-Bulk, functional PBE.

```
data_LuNiAsPt
_cell_length_a 6.501
_cell_length_b 6.501
_cell_length_c 6.501
_cell_angle_alpha 90.00
_cell_angle_beta 90.00
_cell_angle_gamma 90.00
_space_group_name_H-M_alt 'F -4 3 m'
_space_group_IT_number 216
_space_group_name_Hall 'F -4 2 3'
loop_
_atom_site_label
_atom_site_fract_x
_atom_site_fract_y
_atom_site_fract_z
Lu1 0.000 0.000 0.000
Ni1 0.000 0.000 0.500
As1 0.250 0.250 0.250
Pt1 0.250 0.250 0.750
```

Values from the calculation:
Raw total energy in eV per formula unit: -22.89

***

(8)
HgBr7 after structural relaxation. Source: OQMD via LeMat-Bulk, functional PBE.

```
data_HgBr7
_cell_length_a 7.348
_cell_length_b 7.992
_cell_length_c 10.480
_cell_angle_alpha 95.82
_cell_angle_beta 95.16
_cell_angle_gamma 115.90
_space_group_name_H-M_alt 'P -1'
_space_group_IT_number 2
_space_group_name_Hall '-P 1'
loop_
_atom_site_label
_atom_site_fract_x
_atom_site_fract_y
_atom_site_fract_z
Hg1 0.033 0.375 0.137
Br1 0.010 0.758 0.495
Br2 0.181 0.317 0.719
Br3 0.222 0.855 0.734
Br4 0.247 0.165 0.113
Br5 0.272 0.700 0.088
Br6 0.390 0.216 0.362
Br7 0.443 0.737 0.416
```

Values from the calculation:
Raw total energy in eV per formula unit: -12.51

***

(9)
RbTaOs2O8 after structural relaxation. Source: OQMD via LeMat-Bulk, functional PBE.

```
data_RbTaOs2O8
_cell_length_a 7.834
_cell_length_b 6.138
_cell_length_c 8.147
_cell_angle_alpha 90.00
_cell_angle_beta 94.30
_cell_angle_gamma 90.00
_space_group_name_H-M_alt 'C 1 2/m 1'
_space_group_IT_number 12
_space_group_name_Hall '-C 2y'
loop_
_atom_site_label
_atom_site_fract_x
_atom_site_fract_y
_atom_site_fract_z
Rb1 0.000 0.000 0.000
Ta1 0.000 0.000 0.500
Os1 0.119 0.500 0.724
O1 0.058 0.213 0.678
O2 0.142 0.500 0.938
O3 0.248 0.000 0.455
```

Values from the calculation:
Raw total energy in eV per formula unit: -92.04

***

(10)
PmBeSi after structural relaxation. Source: OQMD via LeMat-Bulk, functional PBE.

```
data_PmBeSi
_cell_length_a 3.9421
_cell_length_b 3.9421
_cell_length_c 4.1926
_cell_angle_alpha 90.00
_cell_angle_beta 90.00
_cell_angle_gamma 120.00
_space_group_name_H-M_alt 'P -6 m 2'
_space_group_IT_number 187
_space_group_name_Hall 'P -6 2'
loop_
_atom_site_label
_atom_site_fract_x
_atom_site_fract_y
_atom_site_fract_z
Pm1 0.0000 0.0000 0.0000
Be1 0.6667 0.3333 0.5000
Si1 0.3333 0.6667 0.5000
```

Values from the calculation:
Raw total energy in eV per formula unit: -15.75

***

(11)
KLiBiAu after structural relaxation. Source: OQMD via LeMat-Bulk, functional PBE.

```
data_KLiBiAu
_cell_length_a 7.349
_cell_length_b 7.349
_cell_length_c 7.349
_cell_angle_alpha 90.00
_cell_angle_beta 90.00
_cell_angle_gamma 90.00
_space_group_name_H-M_alt 'F -4 3 m'
_space_group_IT_number 216
_space_group_name_Hall 'F -4 2 3'
loop_
_atom_site_label
_atom_site_fract_x
_atom_site_fract_y
_atom_site_fract_z
K1 0.000 0.000 0.000
Li1 0.250 0.250 0.750
Bi1 0.000 0.000 0.500
Au1 0.250 0.250 0.250
```

Values from the calculation:
Raw total energy in eV per formula unit: -11.36

***

(12)
HfZrInCo after structural relaxation. Source: OQMD via LeMat-Bulk, functional PBE.

```
data_HfZrInCo
_cell_length_a 6.703
_cell_length_b 6.703
_cell_length_c 6.703
_cell_angle_alpha 90.00
_cell_angle_beta 90.00
_cell_angle_gamma 90.00
_space_group_name_H-M_alt 'F -4 3 m'
_space_group_IT_number 216
_space_group_name_Hall 'F -4 2 3'
loop_
_atom_site_label
_atom_site_fract_x
_atom_site_fract_y
_atom_site_fract_z
Hf1 0.000 0.000 0.000
Zr1 0.250 0.250 0.250
In1 0.000 0.000 0.500
Co1 0.250 0.250 0.750
```

Values from the calculation:
Raw total energy in eV per formula unit: -27.82

***

(13)
NdErNi2Sn after structural relaxation. Source: OQMD via LeMat-Bulk, functional PBE.

```
data_NdErNi2Sn
_cell_length_a 3.698
_cell_length_b 4.017
_cell_length_c 14.050
_cell_angle_alpha 90.00
_cell_angle_beta 90.00
_cell_angle_gamma 90.00
_space_group_name_H-M_alt 'A m m 2'
_space_group_IT_number 38
_space_group_name_Hall 'A 2 -2'
loop_
_atom_site_label
_atom_site_fract_x
_atom_site_fract_y
_atom_site_fract_z
Nd1 0.000 0.000 0.000
Er1 0.000 0.000 0.272
Ni1 0.500 0.000 0.432
Ni2 0.500 0.000 0.830
Sn1 0.500 0.000 0.640
```

Values from the calculation:
Raw total energy in eV per formula unit: -27.31

***

(14)
NaHoHgSe3 after structural relaxation. Source: OQMD via LeMat-Bulk, functional PBE.

```
data_NaHoHgSe3
_cell_length_a 12.837
_cell_length_b 4.138
_cell_length_c 12.240
_cell_angle_alpha 90.00
_cell_angle_beta 90.00
_cell_angle_gamma 90.00
_space_group_name_H-M_alt 'P n m a'
_space_group_IT_number 62
_space_group_name_Hall '-P 2ac 2n'
loop_
_atom_site_label
_atom_site_fract_x
_atom_site_fract_y
_atom_site_fract_z
Na1 0.131 0.250 0.006
Ho1 0.052 0.250 0.671
Hg1 0.234 0.250 0.293
Se1 0.059 0.750 0.841
Se2 0.074 0.250 0.424
Se3 0.233 0.750 0.144
```

Values from the calculation:
Raw total energy in eV per formula unit: -23.19

***

(15)
ErGaGe after structural relaxation. Source: OQMD via LeMat-Bulk, functional PBE.

```
data_ErGaGe
_cell_length_a 7.2055
_cell_length_b 7.2055
_cell_length_c 4.0871
_cell_angle_alpha 90.00
_cell_angle_beta 90.00
_cell_angle_gamma 120.00
_space_group_name_H-M_alt 'P -6 2 m'
_space_group_IT_number 189
_space_group_name_Hall 'P -6 -2'
loop_
_atom_site_label
_atom_site_fract_x
_atom_site_fract_y
_atom_site_fract_z
Er1 0.0000 0.6128 0.0000
Ga1 0.0000 0.2670 0.5000
Ge1 0.0000 0.0000 0.0000
Ge2 0.3333 0.6667 0.5000
```

Values from the calculation:
Raw total energy in eV per formula unit: -13.84

***

(16)
Y2GaAu after structural relaxation. Source: OQMD via LeMat-Bulk, functional PBE.

```
data_Y2GaAu
_cell_length_a 7.143
_cell_length_b 7.143
_cell_length_c 7.143
_cell_angle_alpha 90.00
_cell_angle_beta 90.00
_cell_angle_gamma 90.00
_space_group_name_H-M_alt 'F -4 3 m'
_space_group_IT_number 216
_space_group_name_Hall 'F -4 2 3'
loop_
_atom_site_label
_atom_site_fract_x
_atom_site_fract_y
_atom_site_fract_z
Y1 0.000 0.000 0.000
Y2 0.250 0.250 0.250
Ga1 0.000 0.000 0.500
Au1 0.250 0.250 0.750
```

Values from the calculation:
Raw total energy in eV per formula unit: -19.94

***

(17)
LaLuIn after structural relaxation. Source: OQMD via LeMat-Bulk, functional PBE.

```
data_LaLuIn
_cell_length_a 7.463
_cell_length_b 7.463
_cell_length_c 7.463
_cell_angle_alpha 90.00
_cell_angle_beta 90.00
_cell_angle_gamma 90.00
_space_group_name_H-M_alt 'F -4 3 m'
_space_group_IT_number 216
_space_group_name_Hall 'F -4 2 3'
loop_
_atom_site_label
_atom_site_fract_x
_atom_site_fract_y
_atom_site_fract_z
La1 0.000 0.000 0.000
Lu1 0.250 0.250 0.250
In1 0.250 0.250 0.750
```

Values from the calculation:
Raw total energy in eV per formula unit: -11.18

***

(18)
Lu2Ni after structural relaxation. Source: OQMD via LeMat-Bulk, functional PBE.

```
data_Lu2Ni
_cell_length_a 6.284
_cell_length_b 6.284
_cell_length_c 3.875
_cell_angle_alpha 90.00
_cell_angle_beta 90.00
_cell_angle_gamma 90.00
_space_group_name_H-M_alt 'P 42/m n m'
_space_group_IT_number 136
_space_group_name_Hall '-P 4n 2n'
loop_
_atom_site_label
_atom_site_fract_x
_atom_site_fract_y
_atom_site_fract_z
Lu1 0.204 0.204 0.000
Ni1 0.000 0.000 0.500
```

Values from the calculation:
Raw total energy in eV per formula unit: -15.27

***

(19)
Nd3Mg3CdAg2 after structural relaxation. Source: OQMD via LeMat-Bulk, functional PBE.

```
data_Nd3Mg3CdAg2
_cell_length_a 7.5589
_cell_length_b 7.5589
_cell_length_c 4.6671
_cell_angle_alpha 90.00
_cell_angle_beta 90.00
_cell_angle_gamma 120.00
_space_group_name_H-M_alt 'P -6 2 m'
_space_group_IT_number 189
_space_group_name_Hall 'P -6 -2'
loop_
_atom_site_label
_atom_site_fract_x
_atom_site_fract_y
_atom_site_fract_z
Nd1 0.0000 0.4250 0.0000
Mg1 0.0000 0.7573 0.5000
Cd1 0.0000 0.0000 0.0000
Ag1 0.3333 0.6667 0.5000
```

Values from the calculation:
Raw total energy in eV per formula unit: -27.79